{"formula": "NaSc2Zn", "functional": "PBE-GGA", "state": "relaxed", "m_tot_mub_per_cell": 0.0, "formation_enthalpy_0k_ev_per_atom": 0.13, "n_ef_per_ev_cell": 6.5, "density_g_cm3": 2.95, "total_energy_ha_per_atom": -0.135, "lattice_angstrom": [[1.6335, 0.9431, 10.8588], [-1.6335, 0.9431, 10.8588], [0.0000, -1.8862, 10.8588]], "species": ["Na", "Sc", "Sc", "Zn"], "fractional_positions": [[0.0000, 0.0000, 0.0000], [0.1015, 0.1015, 0.1015], [0.8985, 0.8985, 0.8985], [0.5000, 0.5000, 0.5000]]}

***

{"formula": "NaSc3Zn", "functional": "PBE-GGA", "state": "relaxed", "m_tot_mub_per_cell": 2.1, "formation_enthalpy_0k_ev_per_atom": 1.08, "n_ef_per_ev_cell": 8.4, "polymorph_energy_mev_per_atom": 729, "density_g_cm3": 2.73, "total_energy_ha_per_atom": -0.119, "lattice_angstrom": [[5.1393, 0.0000, 0.0000], [0.0000, 5.1393, 0.0000], [0.0000, 0.0000, 5.1393]], "species": ["Na", "Sc", "Sc", "Sc", "Zn"], "fractional_positions": [[0.0000, 0.0000, 0.0000], [0.0000, 0.0000, 0.5000], [0.0000, 0.5000, 0.0000], [0.5000, 0.0000, 0.0000], [0.5000, 0.5000, 0.5000]]}